1.
This record from the Alexandria database describes crystalline LaTcIr2 at its relaxed geometry. The functional is PBE-GGA.

## Properties
E_form	0.05	eV/atom
V	74.83	Å³ per cell
space-group type	Cm (8)
energy above the lowest structure with this stoichiometry	142.7	meV per atom

a = 5.0074 Å, b = 5.0074 Å, c = 5.3865 Å
α = 79.87°, β = 79.87°, γ = 34.31°
Positions (direct):
Ir  0.9987  0.9987  0.0335
Ir  0.7337  0.7337  0.7867
Tc  0.2694  0.2694  0.1644
La  0.4982  0.4982  0.5154

2.
This record from the Alexandria database describes crystalline La2Tc2Ir at its relaxed geometry. The functional is PBE-GGA.

## Properties
E_form	0.01	eV/atom
V	220.61	Å³ per cell
space-group type	P4/mbm (127)

a = 6.8354 Å, b = 6.8354 Å, c = 4.7217 Å
α = 90.00°, β = 90.00°, γ = 90.00°
Positions (direct):
La  0.6866  0.8134  0.5000
La  0.3134  0.1866  0.5000
La  0.8134  0.3134  0.5000
La  0.1866  0.6866  0.5000
Tc  0.6198  0.1198  0.0000
Tc  0.8802  0.6198  0.0000
Tc  0.3802  0.8802  0.0000
Tc  0.1198  0.3802  0.0000
Ir  0.5000  0.5000  0.0000
Ir  0.0000  0.0000  0.0000

3.
This record from the Alexandria database describes crystalline LaTcIr2 at its relaxed geometry. The functional is PBE-GGA.

## Properties
E_form	0.13	eV/atom
V	71.82	Å³ per cell
space-group type	P4/mmm (123)
energy above the lowest structure with this stoichiometry	228.2	meV per atom

a = 4.1687 Å, b = 4.1675 Å, c = 4.1338 Å
α = 90.00°, β = 90.00°, γ = 90.00°
Positions (direct):
Ir  0.5000  0.5000  0.0000
Ir  0.0000  0.0000  0.0000
La  0.5000  0.0000  0.5000
Tc  0.0000  0.5000  0.5000

4.
This record from the Alexandria database describes crystalline LaTcIr2 at its relaxed geometry. The functional is PBE-GGA.

## Properties
E_form	0.13	eV/atom
V	72.78	Å³ per cell
space-group type	P4/mmm (123)
energy above the lowest structure with this stoichiometry	229.0	meV per atom

a = 4.9843 Å, b = 4.9843 Å, c = 2.9297 Å
α = 90.00°, β = 90.00°, γ = 90.00°
Positions (direct):
Ir  0.5000  0.5000  0.0000
Ir  0.0000  0.0000  0.0000
Tc  0.0000  0.5000  0.5000
La  0.5000  0.0000  0.5000

Which formula does entry 4 have? LaTcIr2

V of number 1 (LaTcIr2)? 74.83 Å³ per cell